[1]
PmYHgIr: optimized geometry, PBE.

abc: 5.110 5.110 5.110
angles: 60.00 60.00 60.00
Element x y z (fractional)
Pm (0.000, 0.000, 0.000)
Y (0.500, 0.500, 0.500)
Hg (0.750, 0.750, 0.750)
Ir (0.250, 0.250, 0.250)

total moment = 0.00 μB per cell
energy of formation from the pure elements = -218 kJ/mol of formula units
crystal system = cubic
volume = 23.6 Å³ per atom

---

[2]
Pr5HgIr: optimized geometry, PBE.

abc: 6.271 6.271 12.056
angles: 103.02 103.02 76.14
Element x y z (fractional)
Pr (0.016, 0.984, 0.750)
Pr (0.077, 0.423, 0.130)
Pr (0.213, 0.549, 0.444)
Pr (0.423, 0.077, 0.630)
Pr (0.451, 0.787, 0.056)
Pr (0.549, 0.213, 0.944)
Pr (0.577, 0.923, 0.370)
Pr (0.787, 0.451, 0.556)
Pr (0.923, 0.577, 0.870)
Pr (0.984, 0.016, 0.250)
Hg (0.421, 0.579, 0.750)
Hg (0.579, 0.421, 0.250)
Ir (0.000, 0.000, 0.000)
Ir (0.000, 0.000, 0.500)

total moment = 0.00 μB per cell
energy of formation from the pure elements = -175 kJ/mol of formula units
crystal system = monoclinic
volume = 31.5 Å³ per atom

---

Please write out number 2 again, unchanged.
Pr5HgIr: optimized geometry, PBE.

abc: 6.271 6.271 12.056
angles: 103.02 103.02 76.14
Element x y z (fractional)
Pr (0.016, 0.984, 0.750)
Pr (0.077, 0.423, 0.130)
Pr (0.213, 0.549, 0.444)
Pr (0.423, 0.077, 0.630)
Pr (0.451, 0.787, 0.056)
Pr (0.549, 0.213, 0.944)
Pr (0.577, 0.923, 0.370)
Pr (0.787, 0.451, 0.556)
Pr (0.923, 0.577, 0.870)
Pr (0.984, 0.016, 0.250)
Hg (0.421, 0.579, 0.750)
Hg (0.579, 0.421, 0.250)
Ir (0.000, 0.000, 0.000)
Ir (0.000, 0.000, 0.500)

total moment = 0.00 μB per cell
energy of formation from the pure elements = -175 kJ/mol of formula units
crystal system = monoclinic
volume = 31.5 Å³ per atom

---

Q: What is the formula in the second record?
A: Pr5HgIr

---

Q: The highest energy of formation from the pure elements belongs to which entry?
A: Pr5HgIr